Computed, not measured: crystalline CoReRu2 at its relaxed geometry at the GGA-PBEsol level of DFT.

Unit cell a=2.661 b=4.537 c=4.537 alpha=109.10 beta=90.00 gamma=90.00
Sites, in units of the cell vectors:
Ru1 0.000 0.500 0.000
Co1 0.500 0.000 0.000
Re1 0.500 0.500 0.500
Ru2 0.000 0.000 0.500

Properties
For the density of states at the Fermi level, the calculation gives 4.95 states/eV/cell. Its calculated formation energy is 0.135 eV per atom. The calculation puts the magnetic moment at 0.00 μB per formula unit.